Material: W2Se
Method: DFT, GGA-PBE
State: optimized geometry

Values from the calculation:
**Uncorrected energy**: -25.723 eV/cell
**ΔE_f (raw)**: 1.22 eV/atom
**Symmetry**: Fm-3m (225)

The structure in CIF format:
```
data_W2Se
_chemical_formula_sum 'W2 Se1'
_symmetry_space_group_name_H-M 'P 1'
_symmetry_Int_Tables_number 1
_symmetry_space_group_name_Hall 'P 1'
_cell_length_a 4.2079
_cell_length_b 4.2079
_cell_length_c 4.2079
_cell_angle_alpha 60.00
_cell_angle_beta 60.00
_cell_angle_gamma 60.00
loop_
_atom_site_label
_atom_site_type_symbol
_atom_site_fract_x
_atom_site_fract_y
_atom_site_fract_z
W1 W 0.2500 0.2500 0.2500
W2 W 0.7500 0.7500 0.7500
Se1 Se 0.0000 0.0000 0.0000
```

---

Material: NpCo4GeH6
Method: DFT, GGA-PBE
State: optimized geometry

Values from the calculation:
**Uncorrected energy**: -66.942 eV/cell
**Symmetry**: P6/mmm (191)

The structure in CIF format:
```
data_NpCo4GeH6
_chemical_formula_sum 'Np1 Co4 Ge1 H6'
_symmetry_space_group_name_H-M 'P 1'
_symmetry_Int_Tables_number 1
_symmetry_space_group_name_Hall 'P 1'
_cell_length_a 4.2037
_cell_length_b 4.2037
_cell_length_c 6.5309
_cell_angle_alpha 90.00
_cell_angle_beta 90.00
_cell_angle_gamma 120.00
loop_
_atom_site_label
_atom_site_type_symbol
_atom_site_fract_x
_atom_site_fract_y
_atom_site_fract_z
H1 H 0.5000 0.5000 0.6499
H2 H 0.5000 0.0000 0.6499
H3 H 0.5000 0.0000 0.3501
H4 H 0.0000 0.5000 0.3501
H5 H 0.0000 0.5000 0.6499
H6 H 0.5000 0.5000 0.3501
Co1 Co 0.3333 0.6667 0.8160
Co2 Co 0.6667 0.3333 0.8160
Co3 Co 0.6667 0.3333 0.1840
Co4 Co 0.3333 0.6667 0.1840
Np1 Np 0.0000 0.0000 0.5000
Ge1 Ge 0.0000 0.0000 0.0000
```

---

Material: YThScTi
Method: DFT, GGA-PBE
State: optimized geometry

Values from the calculation:
**Formation energy from the elements**: 0.1593 eV/atom
**Uncorrected energy**: -27.473 eV/cell
**Symmetry**: F-43m (216)

The structure in CIF format:
```
data_YThScTi
_chemical_formula_sum 'Y1 Th1 Sc1 Ti1'
_symmetry_space_group_name_H-M 'P 1'
_symmetry_Int_Tables_number 1
_symmetry_space_group_name_Hall 'P 1'
_cell_length_a 5.2852
_cell_length_b 5.2852
_cell_length_c 5.2852
_cell_angle_alpha 60.00
_cell_angle_beta 60.00
_cell_angle_gamma 60.00
loop_
_atom_site_label
_atom_site_type_symbol
_atom_site_fract_x
_atom_site_fract_y
_atom_site_fract_z
Th1 Th 0.0000 0.0000 0.0000
Ti1 Ti 0.2500 0.2500 0.2500
Y1 Y 0.5000 0.5000 0.5000
Sc1 Sc 0.7500 0.7500 0.7500
```

---

Material: CrCoNi2
Method: DFT, GGA-PBE
State: optimized geometry

Values from the calculation:
**Formation energy from the elements**: 0.5918 eV/atom
**Uncorrected energy**: -51.849 eV/cell
**Symmetry**: I-42d (122)

The structure in CIF format:
```
data_CrCoNi2
_chemical_formula_sum 'Cr2 Co2 Ni4'
_symmetry_space_group_name_H-M 'P 1'
_symmetry_Int_Tables_number 1
_symmetry_space_group_name_Hall 'P 1'
_cell_length_a 6.3020
_cell_length_b 6.3020
_cell_length_c 5.0599
_cell_angle_alpha 51.48
_cell_angle_beta 51.48
_cell_angle_gamma 90.00
loop_
_atom_site_label
_atom_site_type_symbol
_atom_site_fract_x
_atom_site_fract_y
_atom_site_fract_z
Co1 Co 0.7500 0.2500 0.5000
Co2 Co 0.0000 0.0000 0.0000
Ni1 Ni 0.6169 0.1250 0.2500
Ni2 Ni 0.3750 0.3831 0.7500
Ni3 Ni 0.1331 0.6250 0.2500
Ni4 Ni 0.8750 0.8669 0.7500
Cr1 Cr 0.2500 0.7500 0.5000
Cr2 Cr 0.5000 0.5000 0.0000
```

---

Material: YAl4Ru
Method: DFT, GGA-PBE
State: optimized geometry

Values from the calculation:
**Formation energy from the elements**: -0.2716 eV/atom
**Uncorrected energy**: -64.680 eV/cell
**Symmetry**: I4/mcm (140)

The structure in CIF format:
```
data_YAl4Ru
_chemical_formula_sum 'Y2 Al8 Ru2'
_symmetry_space_group_name_H-M 'P 1'
_symmetry_Int_Tables_number 1
_symmetry_space_group_name_Hall 'P 1'
_cell_length_a 7.2566
_cell_length_b 7.2566
_cell_length_c 7.2566
_cell_angle_alpha 125.85
_cell_angle_beta 125.85
_cell_angle_gamma 80.14
loop_
_atom_site_label
_atom_site_type_symbol
_atom_site_fract_x
_atom_site_fract_y
_atom_site_fract_z
Al1 Al 0.5176 0.3164 0.5000
Al2 Al 0.3164 0.8164 0.7988
Al3 Al 0.4824 0.6836 0.5000
Al4 Al 0.8164 0.0176 0.5000
Al5 Al 0.1836 0.9824 0.5000
Al6 Al 0.9824 0.4824 0.7988
Al7 Al 0.6836 0.1836 0.2012
Al8 Al 0.0176 0.5176 0.2012
Ru1 Ru 0.7500 0.7500 0.0000
Ru2 Ru 0.2500 0.2500 0.0000
Y1 Y 0.0000 0.0000 0.0000
Y2 Y 0.5000 0.5000 0.0000
```

---

Material: SmHo3Ir8
Method: DFT, GGA-PBE
State: optimized geometry

Values from the calculation:
**Formation energy from the elements**: -0.7982 eV/atom
**Uncorrected energy**: -98.918 eV/cell
**Symmetry**: P3m1 (156)

The structure in CIF format:
```
data_SmHo3Ir8
_chemical_formula_sum 'Sm1 Ho3 Ir8'
_symmetry_space_group_name_H-M 'P 1'
_symmetry_Int_Tables_number 1
_symmetry_space_group_name_Hall 'P 1'
_cell_length_a 5.3676
_cell_length_b 5.3676
_cell_length_c 8.7240
_cell_angle_alpha 90.00
_cell_angle_beta 90.00
_cell_angle_gamma 120.00
loop_
_atom_site_label
_atom_site_type_symbol
_atom_site_fract_x
_atom_site_fract_y
_atom_site_fract_z
Ho1 Ho 0.6667 0.3333 0.4316
Ho2 Ho 0.6667 0.3333 0.0668
Ho3 Ho 0.0000 0.0000 0.9338
Ir1 Ir 0.1636 0.8364 0.2486
Ir2 Ir 0.5033 0.4967 0.7517
Ir3 Ir 0.5033 0.0066 0.7517
Ir4 Ir 0.6729 0.8364 0.2486
Ir5 Ir 0.3333 0.6667 0.9998
Ir6 Ir 0.9934 0.4967 0.7517
Ir7 Ir 0.1636 0.3271 0.2486
Ir8 Ir 0.3333 0.6667 0.4995
Sm1 Sm 0.0000 0.0000 0.5676
```

---

Material: ZrBNF2
Method: DFT, GGA-PBE
State: optimized geometry

Values from the calculation:
**Uncorrected energy**: -31.272 eV/cell
**ΔE_f (raw)**: -0.80 eV/atom
**Symmetry**: P4/mmm (123)

The structure in CIF format:
```
data_ZrBNF2
_chemical_formula_sum 'Zr1 B1 N1 F2'
_symmetry_space_group_name_H-M 'P 1'
_symmetry_Int_Tables_number 1
_symmetry_space_group_name_Hall 'P 1'
_cell_length_a 4.2130
_cell_length_b 4.2130
_cell_length_c 4.2236
_cell_angle_alpha 90.00
_cell_angle_beta 90.00
_cell_angle_gamma 90.00
loop_
_atom_site_label
_atom_site_type_symbol
_atom_site_fract_x
_atom_site_fract_y
_atom_site_fract_z
N1 N 0.0000 0.0000 0.5000
F1 F 0.5000 0.0000 0.0000
F2 F 0.0000 0.5000 0.0000
B1 B 0.5000 0.5000 0.5000
Zr1 Zr 0.0000 0.0000 0.0000
```

---

Material: Li2CaRu
Method: DFT, GGA-PBE
State: optimized geometry

Values from the calculation:
**Formation energy from the elements**: 0.5730 eV/atom
**Uncorrected energy**: -12.813 eV/cell
**Symmetry**: R-3m (166)

The structure in CIF format:
```
data_Li2CaRu
_chemical_formula_sum 'Li2 Ca1 Ru1'
_symmetry_space_group_name_H-M 'P 1'
_symmetry_Int_Tables_number 1
_symmetry_space_group_name_Hall 'P 1'
_cell_length_a 10.3765
_cell_length_b 10.3765
_cell_length_c 10.3765
_cell_angle_alpha 16.46
_cell_angle_beta 16.46
_cell_angle_gamma 16.46
loop_
_atom_site_label
_atom_site_type_symbol
_atom_site_fract_x
_atom_site_fract_y
_atom_site_fract_z
Li1 Li 0.5160 0.5160 0.5160
Li2 Li 0.9840 0.9840 0.9840
Ru1 Ru 0.2500 0.2500 0.2500
Ca1 Ca 0.7500 0.7500 0.7500
```

---

Material: MnTl3Br6
Method: DFT, GGA-PBE
State: optimized geometry

Values from the calculation:
**Uncorrected energy**: -67.704 eV/cell
**ΔE_f (raw)**: -0.75 eV/atom
**Symmetry**: Cmc2_1 (36)

The structure in CIF format:
```
data_MnTl3Br6
_chemical_formula_sum 'Mn2 Tl6 Br12'
_symmetry_space_group_name_H-M 'P 1'
_symmetry_Int_Tables_number 1
_symmetry_space_group_name_Hall 'P 1'
_cell_length_a 8.1267
_cell_length_b 10.1206
_cell_length_c 10.1206
_cell_angle_alpha 103.52
_cell_angle_beta 90.00
_cell_angle_gamma 90.00
loop_
_atom_site_label
_atom_site_type_symbol
_atom_site_fract_x
_atom_site_fract_y
_atom_site_fract_z
Br1 Br 0.0841 0.0412 0.6082
Br2 Br 0.2400 0.3247 0.3517
Br3 Br 0.1535 0.0415 0.9585
Br4 Br 0.5841 0.9588 0.3918
Br5 Br 0.6535 0.9585 0.0415
Br6 Br 0.2302 0.7849 0.2152
Br7 Br 0.7400 0.6753 0.6483
Br8 Br 0.5841 0.6082 0.0412
Br9 Br 0.7400 0.3517 0.3247
Br10 Br 0.0841 0.3918 0.9588
Br11 Br 0.7302 0.2152 0.7849
Br12 Br 0.2400 0.6483 0.6753
Tl1 Tl 0.5100 0.4087 0.5913
Tl2 Tl 0.4660 0.2983 0.0997
Tl3 Tl 0.4660 0.9003 0.7017
Tl4 Tl 0.0100 0.5913 0.4087
Tl5 Tl 0.9660 0.7017 0.9003
Tl6 Tl 0.9660 0.0997 0.2983
Mn1 Mn 0.5114 0.8261 0.1739
Mn2 Mn 0.0114 0.1739 0.8261
```

---

Material: KTaRu2
Method: DFT, GGA-PBE
State: optimized geometry

Values from the calculation:
**Formation energy from the elements**: 0.5646 eV/atom
**Uncorrected energy**: -29.244 eV/cell
**Symmetry**: C2/m (12)

The structure in CIF format:
```
data_KTaRu2
_chemical_formula_sum 'K1 Ta1 Ru2'
_symmetry_space_group_name_H-M 'P 1'
_symmetry_Int_Tables_number 1
_symmetry_space_group_name_Hall 'P 1'
_cell_length_a 4.2883
_cell_length_b 4.2883
_cell_length_c 7.5650
_cell_angle_alpha 83.81
_cell_angle_beta 83.81
_cell_angle_gamma 41.72
loop_
_atom_site_label
_atom_site_type_symbol
_atom_site_fract_x
_atom_site_fract_y
_atom_site_fract_z
Ta1 Ta 0.2500 0.2500 0.2500
K1 K 0.7500 0.7500 0.7500
Ru1 Ru 0.9769 0.9769 0.0965
Ru2 Ru 0.5231 0.5231 0.4035
```

---

Material: DyTmRh4
Method: DFT, GGA-PBE
State: optimized geometry

Values from the calculation:
**Formation energy from the elements**: -0.7546 eV/atom
**Uncorrected energy**: -43.007 eV/cell
**Symmetry**: F-43m (216)

The structure in CIF format:
```
data_DyTmRh4
_chemical_formula_sum 'Dy1 Tm1 Rh4'
_symmetry_space_group_name_H-M 'P 1'
_symmetry_Int_Tables_number 1
_symmetry_space_group_name_Hall 'P 1'
_cell_length_a 5.3196
_cell_length_b 5.3196
_cell_length_c 5.3196
_cell_angle_alpha 60.00
_cell_angle_beta 60.00
_cell_angle_gamma 60.00
loop_
_atom_site_label
_atom_site_type_symbol
_atom_site_fract_x
_atom_site_fract_y
_atom_site_fract_z
Rh1 Rh 0.1252 0.6249 0.6249
Rh2 Rh 0.6249 0.6249 0.1252
Rh3 Rh 0.6249 0.6249 0.6249
Rh4 Rh 0.6249 0.1252 0.6249
Dy1 Dy 0.0000 0.0000 0.0000
Tm1 Tm 0.2500 0.2500 0.2500
```

---

Material: CrInH2
Method: DFT, GGA-PBE
State: optimized geometry

Values from the calculation:
**Uncorrected energy**: -15.836 eV/cell
**Symmetry**: Fm-3m (225)

The structure in CIF format:
```
data_CrInH2
_chemical_formula_sum 'Cr1 In1 H2'
_symmetry_space_group_name_H-M 'P 1'
_symmetry_Int_Tables_number 1
_symmetry_space_group_name_Hall 'P 1'
_cell_length_a 3.9609
_cell_length_b 3.9609
_cell_length_c 3.9609
_cell_angle_alpha 60.00
_cell_angle_beta 60.00
_cell_angle_gamma 60.00
loop_
_atom_site_label
_atom_site_type_symbol
_atom_site_fract_x
_atom_site_fract_y
_atom_site_fract_z
Cr1 Cr 0.0000 0.0000 0.0000
H1 H 0.2500 0.2500 0.2500
H2 H 0.7500 0.7500 0.7500
In1 In 0.5000 0.5000 0.5000
```